Below is crystalline PdWO2 at its relaxed geometry, with properties calculated at the PBE+U level.

Cell: 4.0164 4.0164 4.0164 Å, 60.00 60.00 60.00°
Last column: nearest neighbours and their distance in Å.
Fractional coordinates of all 4 atoms:
O 0.2500 0.2500 0.2500  4 W 2.46, 4 Pd 2.46
O 0.7500 0.7500 0.7500  4 W 2.46, 4 Pd 2.46
Pd 0.0000 0.0000 0.0000  8 O 2.46
W 0.5000 0.5000 0.5000  8 O 2.46

Values from the calculation:
The density of states at the Fermi level is 0.4 states/eV per cell. The energy relative to the lowest polymorph listed for this composition comes out at 537 meV per atom. As for the space group: No. 225. For the uncorrected energy, the calculation gives -22.8 eV/cell.